Entry 1:
DFT (PBE) results for crystalline LiHfSiNi at its relaxed geometry.

abc: 4.2240 4.2240 4.2240
angles: 60.00 60.00 60.00
Sites, in units of the cell vectors:
1 Li 0.0000 0.0000 0.0000
2 Hf 0.7500 0.7500 0.7500
3 Si 0.2500 0.2500 0.2500
4 Ni 0.5000 0.5000 0.5000

Computed properties:
Crystal system = cubic
VASP energy = -6.13 eV/atom

---

Entry 2:
DFT (PBE) results for crystalline PaPPbO at its relaxed geometry.

abc: 4.2955 7.9148 5.9218
angles: 90.00 90.00 90.00
Sites, in units of the cell vectors:
1 Pa 0.0000 0.1791 0.0000
2 Pa 0.0000 0.8209 0.5000
3 P 0.0000 0.1769 0.5000
4 P 0.0000 0.8231 0.0000
5 Pb 0.5000 0.4040 0.4991
6 Pb 0.5000 0.5960 0.9991
7 O 0.5000 0.1789 0.9916
8 O 0.5000 0.8211 0.4916

Computed properties:
Crystal system = orthorhombic
VASP energy = -6.75 eV/atom